Computed, not measured: a relaxed structure of Rb3Mn2InCl9 at the PBE-GGA level of DFT.

The structure in extended XYZ format:
```
15
Lattice="7.3417 0.0000 0.0000 -3.6709 6.3581 0.0000 0.0000 0.0000 9.0464" Properties=species:S:1:pos:R:3 pbc="T T T"
Rb 0.0000 4.2387 6.0928
Rb 0.0000 0.0000 0.0000
Rb 3.6709 2.1194 2.9536
Mn 0.0000 4.2387 1.4362
Mn 3.6709 2.1194 7.6102
In 0.0000 0.0000 4.5232
Cl 5.4193 1.1099 6.1475
Cl 3.6709 4.1383 6.1475
Cl 1.9224 1.1099 6.1475
Cl 1.7485 5.2482 2.8990
Cl 0.0000 2.2198 2.8990
Cl -1.7485 5.2482 2.8990
Cl 3.6709 0.0000 0.0000
Cl -1.8354 3.1791 0.0000
Cl 1.8354 3.1791 0.0000
```

Values from the calculation:
Total magnetic moment in Bohr magnetons per cell: 9.18
Electronic total energy in eV/atom: -4.125
Space-group type: P-3m1, No. 164
Calculated volume in Å³ per cell: 422
Crystal system: trigonal